Mg14ZnCu | Alexandria | PBE | optimized geometry; space-group type = P-6m2; formation energy = 0.002 eV per atom
1.0
-3.8300 4.8460 -0.4992
0.5795 -2.9458 5.4211
7.6176 6.2886 2.6029
Mg Cu Zn
14 1 1
direct
0.1628 0.8372 0.7451
0.4997 0.5003 0.0000
0.6667 0.3333 0.7503
0.6667 0.3333 0.2497
0.4997 0.9993 0.0000
0.9983 0.4991 0.5000
0.5009 0.4991 0.5000
0.1628 0.3257 0.2549
0.1628 0.8372 0.2549
0.6743 0.8372 0.7451
0.0007 0.5003 0.0000
0.6743 0.8372 0.2549
0.1628 0.3257 0.7451
0.5009 0.0017 0.5000
0.0000 0.0000 0.5000
0.0000 0.0000 0.0000